[1]
20
Lattice="4.395 0.000 0.000 -2.198 3.806 0.000 0.000 0.000 35.798" Properties=species:S:1:pos:R:3 comment="MgHg4Se5 (GGA-PBE, relaxed)" raw_formation_energy_ev_per_atom=-0.41 dos_at_fermi_per_ev_cell=1.3 magmom_total_mub_per_cell=0.0 pbc="T T T"
Mg 0.000 0.000 0.000
Mg 0.000 0.000 6.963
Hg 0.000 0.000 14.040
Hg 0.000 0.000 21.328
Hg 0.000 0.000 28.623
Hg 0.000 2.537 3.416
Hg 0.000 2.537 10.384
Hg 0.000 2.537 17.683
Hg 0.000 2.537 24.974
Hg 0.000 2.537 32.262
Se 0.000 0.000 4.352
Se 0.000 0.000 11.326
Se 0.000 0.000 18.612
Se 0.000 0.000 25.903
Se 0.000 0.000 33.182
Se 0.000 2.537 0.702
Se 0.000 2.537 7.669
Se 0.000 2.537 14.969
Se 0.000 2.537 22.257
Se 0.000 2.537 29.544

[2]
4
Lattice="0.000 3.502 3.502 3.502 0.000 3.502 3.502 3.502 0.000" Properties=species:S:1:pos:R:3 comment="YHfNb2 (GGA-PBE, relaxed)" ef_ev_per_atom=0.356 dos_at_fermi_per_ev_cell=8.5 relative_energy_mev_per_atom=0 magmom_total_mub_per_cell=0.0 pbc="T T T"
Y 0.000 0.000 0.000
Hf 3.502 3.502 3.502
Nb 1.751 1.751 1.751
Nb 5.254 5.254 5.254

[3]
5
Lattice="4.941 0.000 0.000 0.000 4.941 0.000 0.000 0.000 4.941" Properties=species:S:1:pos:R:3 comment="Zr3TiAg (GGA-PBE, relaxed)" ef_ev_per_atom=0.809 dos_at_fermi_per_ev_cell=8.4 relative_energy_mev_per_atom=0 magmom_total_mub_per_cell=0.0 pbc="T T T"
Zr 0.000 0.000 2.471
Zr 0.000 2.471 0.000
Zr 2.471 0.000 0.000
Ti 0.000 0.000 0.000
Ag 2.471 2.471 2.471

[4]
4
Lattice="1.763 1.018 5.678 -1.763 1.018 5.678 0.000 -2.036 5.678" Properties=species:S:1:pos:R:3 comment="TmNpC2 (GGA-PBE, relaxed)" ef_ev_per_atom=-0.114 dos_at_fermi_per_ev_cell=5.1 magmom_total_mub_per_cell=1.9 pbc="T T T"
Tm 0.000 0.000 0.000
Np 0.000 0.000 8.517
C 0.000 0.000 4.099
C 0.000 0.000 12.935

[5]
10
Lattice="4.250 -5.808 0.000 4.250 5.808 0.000 0.000 0.000 7.327" Properties=species:S:1:pos:R:3 comment="Pr2SmDyTm (GGA-PBE, relaxed)" ef_ev_per_atom=0.398 dos_at_fermi_per_ev_cell=13.6 magmom_total_mub_per_cell=0.0 pbc="T T T"
Pr 1.659 0.000 0.000
Pr 1.659 0.000 3.663
Pr 6.841 0.000 0.000
Pr 6.841 0.000 3.663
Sm 4.250 3.200 5.495
Sm 4.250 -3.200 1.832
Dy 4.250 3.082 1.832
Dy 4.250 -3.082 5.495
Tm 4.250 0.104 5.495
Tm 4.250 -0.104 1.832

[6]
7
Lattice="-2.656 2.656 6.351 2.656 -2.656 6.351 2.656 2.656 -6.351" Properties=species:S:1:pos:R:3 comment="SrZr4V2 (GGA-PBE, relaxed)" ef_ev_per_atom=1.504 dos_at_fermi_per_ev_cell=9.7 magmom_total_mub_per_cell=1.4 pbc="T T T"
Sr 0.000 0.000 0.000
Zr 2.656 0.000 0.000
Zr 0.000 0.000 2.814
Zr 0.000 2.656 0.000
Zr 0.000 0.000 9.887
V 0.000 0.000 5.240
V 0.000 0.000 7.461